A) The following is a DFT calculation (GGA-PBE) of a geometry-optimized La4Hg2N structure.

Calculated density: 7.39 g/cm³

CIF file:
```
data_La4Hg2N
_cell_length_a 7.808
_cell_length_b 7.154
_cell_length_c 8.093
_cell_angle_alpha 90.00
_cell_angle_beta 105.26
_cell_angle_gamma 90.00
_symmetry_space_group_name_H-M 'P 1'
_symmetry_Int_Tables_number 1
loop_
_symmetry_equiv_pos_as_xyz
'x,y,z'
loop_
_atom_site_label
_atom_site_type_symbol
_atom_site_fract_x
_atom_site_fract_y
_atom_site_fract_z
_atom_site_occupancy
La1 La 0.460 0.500 0.236 1
La2 La 0.082 0.750 0.909 1
La3 La 0.918 0.250 0.091 1
La4 La 0.460 0.000 0.236 1
La5 La 0.890 0.250 0.600 1
La6 La 0.540 0.000 0.764 1
La7 La 0.540 0.500 0.764 1
La8 La 0.110 0.750 0.400 1
Hg1 Hg 0.751 0.750 0.098 1
Hg2 Hg 0.249 0.250 0.902 1
Hg3 Hg 0.258 0.250 0.471 1
Hg4 Hg 0.742 0.750 0.529 1
N1 N 0.253 0.750 0.183 1
N2 N 0.747 0.250 0.817 1
```

---

B) The following is a DFT calculation (GGA-PBE) of a geometry-optimized La4Hg2N structure.

Calculated density: 7.82 g/cm³

CIF file:
```
data_La4Hg2N
_cell_length_a 5.179
_cell_length_b 5.179
_cell_length_c 8.509
_cell_angle_alpha 72.28
_cell_angle_beta 72.28
_cell_angle_gamma 90.00
_symmetry_space_group_name_H-M 'P 1'
_symmetry_Int_Tables_number 1
loop_
_symmetry_equiv_pos_as_xyz
'x,y,z'
loop_
_atom_site_label
_atom_site_type_symbol
_atom_site_fract_x
_atom_site_fract_y
_atom_site_fract_z
_atom_site_occupancy
N1 N 0.000 0.000 0.000 1
Hg1 Hg 0.370 0.370 0.261 1
Hg2 Hg 0.630 0.630 0.739 1
La1 La 0.166 0.166 0.667 1
La2 La 0.834 0.834 0.333 1
La3 La 0.000 0.500 0.000 1
La4 La 0.500 0.000 0.000 1
```

---

Most stable = B)

---

A) The following is a DFT calculation (GGA-PBE) of a geometry-optimized NaLa2HgN structure.

Calculated density: 5.20 g/cm³

CIF file:
```
data_NaLa2HgN
_cell_length_a 6.213
_cell_length_b 4.261
_cell_length_c 6.213
_cell_angle_alpha 90.00
_cell_angle_beta 90.00
_cell_angle_gamma 90.00
_symmetry_space_group_name_H-M 'P 1'
_symmetry_Int_Tables_number 1
loop_
_symmetry_equiv_pos_as_xyz
'x,y,z'
loop_
_atom_site_label
_atom_site_type_symbol
_atom_site_fract_x
_atom_site_fract_y
_atom_site_fract_z
_atom_site_occupancy
Na1 Na 0.500 0.500 0.500 1
N1 N 0.000 0.500 0.000 1
Hg1 Hg 0.000 0.000 0.000 1
La1 La 0.000 0.000 0.500 1
La2 La 0.500 0.000 0.000 1
```

---

B) The following is a DFT calculation (GGA-PBE) of a geometry-optimized NaLa2HgN structure.

Calculated density: 6.82 g/cm³

CIF file:
```
data_NaLa2HgN
_cell_length_a 5.025
_cell_length_b 5.025
_cell_length_c 4.969
_cell_angle_alpha 90.00
_cell_angle_beta 90.00
_cell_angle_gamma 90.00
_symmetry_space_group_name_H-M 'P 1'
_symmetry_Int_Tables_number 1
loop_
_symmetry_equiv_pos_as_xyz
'x,y,z'
loop_
_atom_site_label
_atom_site_type_symbol
_atom_site_fract_x
_atom_site_fract_y
_atom_site_fract_z
_atom_site_occupancy
Na1 Na 0.000 0.000 0.500 1
N1 N 0.000 0.000 0.000 1
Hg1 Hg 0.500 0.500 0.500 1
La1 La 0.000 0.500 0.000 1
La2 La 0.500 0.000 0.000 1
```

---

Most stable = B)